The following is a DFT calculation (PBE) of an optimized crystal structure of CsLi3Tl.

Computed properties:
The calculated volume is 37.4 A^3/atom. The energy comes out at -1.0160 eV per atom. For the energy of formation from the pure elements, the calculation gives 0.776 eV per atom. The magnetic moment comes out at 0.000 μB per atom.

Lattice parameters (Å, degrees): 5.7185 5.7185 5.7185 90.00 90.00 90.00
Fractional positions:
1 Cs 0.0000 0.0000 0.0000
2 Li 0.0000 0.0000 0.5000
3 Li 0.0000 0.5000 0.0000
4 Li 0.5000 0.0000 0.0000
5 Tl 0.5000 0.5000 0.5000

=====

The following is a DFT calculation (PBE) of an optimized crystal structure of Cs6Au3ClF2.

Computed properties:
The calculated volume is 41.0 A^3/atom. The energy comes out at -3.0426 eV per atom. The uncorrected formation energy comes out at -1540.7 kJ/mol of formula units. The magnetic moment comes out at 0.000 μB per atom.

Lattice parameters (Å, degrees): 8.2866 8.2866 8.6689 99.33 99.33 119.23
Fractional positions:
1 Cs 0.0718 0.4328 0.7828
2 Cs 0.2086 0.2086 0.2063
3 Cs 0.4328 0.0718 0.7828
4 Cs 0.5672 0.9282 0.2172
5 Cs 0.7914 0.7914 0.7937
6 Cs 0.9282 0.5672 0.2172
7 Au 0.0000 0.0000 0.5000
8 Au 0.3469 0.6531 0.5000
9 Au 0.6531 0.3469 0.5000
10 Cl 0.5000 0.5000 0.0000
11 F 0.1683 0.8317 0.0000
12 F 0.8317 0.1683 0.0000

=====

The following is a DFT calculation (PBE) of an optimized crystal structure of Sr2MgCSe.

Computed properties:
The calculated volume is 30.6 A^3/atom. The energy comes out at -3.0722 eV per atom. The uncorrected formation energy comes out at 222.5 kJ/mol of formula units. The magnetic moment comes out at 0.000 μB per atom.

Lattice parameters (Å, degrees): 5.9910 5.9910 4.2578 90.00 90.00 90.00
Fractional positions:
1 Sr 0.0000 0.5000 0.0000
2 Sr 0.5000 0.0000 0.0000
3 Mg 0.0000 0.0000 0.5000
4 C 0.5000 0.5000 0.5000
5 Se 0.5000 0.5000 0.0000

=====

The following is a DFT calculation (PBE) of an optimized crystal structure of Li2GaBiMo.

Computed properties:
The calculated volume is 24.7 A^3/atom. The energy comes out at -3.0355 eV per atom. For the energy of formation from the pure elements, the calculation gives 1.278 eV per atom. The magnetic moment comes out at 0.104 μB per atom.

Lattice parameters (Å, degrees): 4.7486 4.7486 5.4685 90.00 90.00 90.00
Fractional positions:
1 Li 0.0000 0.5000 0.0000
2 Li 0.5000 0.0000 0.0000
3 Ga 0.0000 0.0000 0.5000
4 Bi 0.0000 0.0000 0.0000
5 Mo 0.5000 0.5000 0.5000